# HoAs2Rh3

Crystalline HoAs2Rh3 at its relaxed geometry (PBE, the Alexandria database).

Structure (POSCAR):
```
HoAs2Rh3
1.0
8.202 -1.987 0.000
8.202 1.987 0.000
-3.000 0.000 9.372
Ho As Rh
3 6 9
Direct
0.000 0.000 0.000 Ho
0.156 0.156 0.696 Ho
0.844 0.844 0.304 Ho
0.195 0.195 0.129 As
0.362 0.362 0.545 As
0.458 0.458 0.219 As
0.542 0.542 0.781 As
0.638 0.638 0.455 As
0.805 0.805 0.871 As
0.040 0.040 0.325 Rh
0.219 0.219 0.392 Rh
0.319 0.319 0.044 Rh
0.380 0.380 0.800 Rh
0.500 0.500 0.500 Rh
0.620 0.620 0.200 Rh
0.681 0.681 0.956 Rh
0.781 0.781 0.608 Rh
0.960 0.960 0.675 Rh
```

Its energy of formation from the pure elements is -0.850 eV/atom. The calculation puts the calculated volume at 16.97 A^3/atom. As for the space group: C2/m, No. 12.